1.
A geometry-optimized As3PtS structure, computed with GGA-PBE.

a = 4.681 Å, b = 4.681 Å, c = 4.681 Å
α = 90.00°, β = 90.00°, γ = 90.00°
Positions (direct):
1 As 0.000 0.000 0.500
2 As 0.000 0.500 0.000
3 As 0.500 0.000 0.000
4 Pt 0.500 0.500 0.500
5 S 0.000 0.000 0.000

Computed properties:
Spin magnetization (μB/f.u.): 0.0

***

2.
A geometry-optimized AsPtS3 structure, computed with GGA-PBE.

a = 4.681 Å, b = 4.681 Å, c = 4.681 Å
α = 90.00°, β = 90.00°, γ = 90.00°
Positions (direct):
1 As 0.000 0.000 0.000
2 Pt 0.500 0.500 0.500
3 S 0.000 0.500 0.500
4 S 0.500 0.000 0.500
5 S 0.500 0.500 0.000

Computed properties:
Spin magnetization (μB/f.u.): 0.0

***

Listing energy relative to the lowest polymorph listed for this composition for the structures above in their given order: 92; 0 meV per atom.
Listing ΔE_f (raw) for the structures above in their given order: 889; 671 meV per atom.
Listing DOS at the Fermi energy for the structures above in their given order: 0.92; 0.83 states/eV/atom.